[1]
Here is an optimized crystal structure of Ac3PbO3 from Alexandria via LeMat-Bulk. Energies are from PBE.

a b c (Å): 7.8165 7.8165 13.2061
angles (deg): 118.64 118.64 30.87
Closest atoms and distances in Å follow each position.
Element x y z (fractional)
Ac: 0.1232 0.1232 0.4395  3 O 2.46-2.50
Ac: 0.1256 0.1256 0.9006  3 O 2.46-2.47
Ac: 0.3449 0.3449 0.7966  4 O 2.46-2.57
Ac: 0.6551 0.6551 0.2034  4 O 2.46-2.57
Ac: 0.8744 0.8744 0.0994  3 O 2.46-2.47
Ac: 0.8768 0.8768 0.5605  3 O 2.46-2.50
Pb: 0.3857 0.3857 0.3287  8 Ac 3.61-3.76
Pb: 0.6143 0.6143 0.6713  8 Ac 3.61-3.76
O: 0.0634 0.0634 0.1964  3 Ac 2.47
O: 0.3076 0.3076 0.5932  4 Ac 2.46-2.50
O: 0.3342 0.3342 0.9849  3 Ac 2.46-2.57
O: 0.6658 0.6658 0.0151  3 Ac 2.46-2.57
O: 0.6924 0.6924 0.4068  4 Ac 2.46-2.50
O: 0.9366 0.9366 0.8036  3 Ac 2.47

The value obtained for the calculated volume is 25.66 Å³/atom. The space-group type is No. 12. As for the formation energy (no corrections): -247.2 kJ per mole of atoms.

---

[2]
Here is an optimized crystal structure of Pm6PrDy12 from Alexandria via LeMat-Bulk. Energies are from PBE.

a b c (Å): 8.5904 8.5904 8.5904
angles (deg): 91.37 91.37 91.37
Closest atoms and distances in Å follow each position.
Element x y z (fractional)
Pm: 0.2243 0.7552 0.3632  7 Dy 3.32-3.66, 1 Pr 3.47, 2 Pm 3.71
Pm: 0.2448 0.6368 0.7757  7 Dy 3.32-3.66, 1 Pr 3.47, 2 Pm 3.71
Pm: 0.3632 0.2243 0.7552  7 Dy 3.32-3.66, 1 Pr 3.47, 2 Pm 3.71
Pm: 0.6368 0.7757 0.2448  7 Dy 3.32-3.66, 1 Pr 3.47, 2 Pm 3.71
Pm: 0.7552 0.3632 0.2243  7 Dy 3.32-3.66, 1 Pr 3.47, 2 Pm 3.71
Pm: 0.7757 0.2448 0.6368  7 Dy 3.32-3.66, 1 Pr 3.47, 2 Pm 3.71
Pr: 0.5000 0.5000 0.5000  6 Pm 3.47, 6 Dy 3.50
Dy: 0.0276 0.2916 0.9669  6 Dy 3.29-3.68, 3 Pm 3.32-3.53
Dy: 0.0331 0.9724 0.7084  6 Dy 3.29-3.68, 3 Pm 3.32-3.53
Dy: 0.1190 0.3577 0.4326  4 Dy 3.29-3.49, 1 Pr 3.50, 4 Pm 3.57-3.66
Dy: 0.2916 0.9669 0.0276  6 Dy 3.29-3.68, 3 Pm 3.32-3.53
Dy: 0.3577 0.4326 0.1190  4 Dy 3.29-3.49, 1 Pr 3.50, 4 Pm 3.57-3.66
Dy: 0.4326 0.1190 0.3577  4 Dy 3.29-3.49, 1 Pr 3.50, 4 Pm 3.57-3.66
Dy: 0.5674 0.8810 0.6423  4 Dy 3.29-3.49, 1 Pr 3.50, 4 Pm 3.57-3.66
Dy: 0.6423 0.5674 0.8810  4 Dy 3.29-3.49, 1 Pr 3.50, 4 Pm 3.57-3.66
Dy: 0.7084 0.0331 0.9724  6 Dy 3.29-3.68, 3 Pm 3.32-3.53
Dy: 0.8810 0.6423 0.5674  4 Dy 3.29-3.49, 1 Pr 3.50, 4 Pm 3.57-3.66
Dy: 0.9669 0.0276 0.2916  6 Dy 3.29-3.68, 3 Pm 3.32-3.53
Dy: 0.9724 0.7084 0.0331  6 Dy 3.29-3.68, 3 Pm 3.32-3.53

The value obtained for the calculated volume is 33.34 Å³/atom. Its energy of formation from the pure elements is 331 kJ/mol of formula units. Its energy above the most stable polymorph in this dataset is 0.00 kcal/mol of atoms. The space-group type is No. 148.

---

[3]
Here is an optimized crystal structure of ZrSc2PtO from Alexandria via LeMat-Bulk. Energies are from PBE.

a b c (Å): 4.3150 4.3150 4.4544
angles (deg): 90.00 90.00 90.00
Closest atoms and distances in Å follow each position.
Element x y z (fractional)
Zr: 0.0000 0.0000 0.0000  2 O 2.23
Sc: 0.0000 0.5000 0.5000  2 O 2.16
Sc: 0.5000 0.0000 0.5000  2 O 2.16
Pt: 0.5000 0.5000 0.0000  4 Zr 3.05, 8 Sc 3.10
O: 0.0000 0.0000 0.5000  4 Sc 2.16, 2 Zr 2.23

The value obtained for the calculated volume is 16.59 Å³/atom. Its energy above the most stable polymorph in this dataset is 0.00 kcal/mol of atoms. The space-group type is No. 123. As for the formation energy (no corrections): -157.7 kJ per mole of atoms.

---

[4]
Here is an optimized crystal structure of Ho2Er2Ru3 from Alexandria via LeMat-Bulk. Energies are from PBE.

a b c (Å): 4.8496 4.8526 7.9786
angles (deg): 107.41 90.07 119.95
Closest atoms and distances in Å follow each position.
Element x y z (fractional)
Ho: 0.1235 0.2471 0.3699  7 Ru 2.82-2.97
Ho: 0.8765 0.7529 0.6301  7 Ru 2.82-2.97
Er: 0.3744 0.7487 0.1219  5 Ru 2.81-2.98
Er: 0.6256 0.2513 0.8781  5 Ru 2.81-2.98
Ru: 0.2486 0.4970 0.7464  4 Er 2.81-2.98, 4 Ho 2.82-2.94
Ru: 0.5000 0.0000 0.5000  2 Er 2.83, 6 Ho 2.96-2.97
Ru: 0.7514 0.5030 0.2536  4 Er 2.81-2.98, 4 Ho 2.82-2.94

The value obtained for the calculated volume is 21.81 Å³/atom. Its energy of formation from the pure elements is -211 kJ/mol of formula units. The space-group type is No. 2.

---

[5]
Here is an optimized crystal structure of Ni2Pt2W from Alexandria via LeMat-Bulk. Energies are from PBE.

a b c (Å): 8.3929 3.7720 6.0310
angles (deg): 90.00 133.77 90.00
Closest atoms and distances in Å follow each position.
Element x y z (fractional)
Ni: 0.1099 0.0000 0.3155  3 Ni 2.61-2.86, 6 Pt 2.62-2.79, 3 W 2.63-2.66
Ni: 0.3901 0.5000 0.6845  3 Ni 2.61-2.86, 6 Pt 2.62-2.79, 3 W 2.63-2.66
Ni: 0.6099 0.5000 0.3155  3 Ni 2.61-2.86, 6 Pt 2.62-2.79, 3 W 2.63-2.66
Ni: 0.8901 0.0000 0.6845  3 Ni 2.61-2.86, 6 Pt 2.62-2.79, 3 W 2.63-2.66
Pt: 0.2054 0.5000 0.1133  6 Ni 2.62-2.79, 3 W 2.67-2.80, 3 Pt 2.69-2.72
Pt: 0.2946 0.0000 0.8867  6 Ni 2.62-2.79, 3 W 2.67-2.80, 3 Pt 2.69-2.72
Pt: 0.7054 0.0000 0.1133  6 Ni 2.62-2.79, 3 W 2.67-2.80, 3 Pt 2.69-2.72
Pt: 0.7946 0.5000 0.8867  6 Ni 2.62-2.79, 3 W 2.67-2.80, 3 Pt 2.69-2.72
W: 0.0000 0.5000 0.5000  6 Ni 2.63-2.66, 6 Pt 2.67-2.80
W: 0.5000 0.0000 0.5000  6 Ni 2.63-2.66, 6 Pt 2.67-2.80

The value obtained for the calculated volume is 13.79 Å³/atom. Its energy of formation from the pure elements is -113 kJ/mol of formula units. Its energy above the most stable polymorph in this dataset is 0.00 kcal/mol of atoms. The space-group type is No. 12.

---

[6]
Here is an optimized crystal structure of PuTlPdCl6 from Alexandria via LeMat-Bulk. Energies are from PBE.

a b c (Å): 6.6525 6.6525 14.8295
angles (deg): 90.00 90.00 120.00
Closest atoms and distances in Å follow each position.
Element x y z (fractional)
Pu: 0.3333 0.6667 0.2500  6 Cl 2.67
Pu: 0.6667 0.3333 0.7500  6 Cl 2.67
Tl: 0.0000 0.0000 0.0000  6 Cl 3.22
Tl: 0.0000 0.0000 0.5000  6 Cl 3.22
Pd: 0.3333 0.6667 0.7500  6 Cl 2.60
Pd: 0.6667 0.3333 0.2500  6 Cl 2.60
Cl: 0.0085 0.3632 0.6459  1 Pd 2.60, 1 Pu 2.67
Cl: 0.0085 0.6452 0.8541  1 Pd 2.60, 1 Pu 2.67
Cl: 0.3548 0.3632 0.8541  1 Pd 2.60, 1 Pu 2.67
Cl: 0.3548 0.9915 0.6459  1 Pd 2.60, 1 Pu 2.67
Cl: 0.3632 0.0085 0.1459  1 Pd 2.60, 1 Pu 2.67
Cl: 0.3632 0.3548 0.3541  1 Pd 2.60, 1 Pu 2.67
Cl: 0.6368 0.6452 0.6459  1 Pd 2.60, 1 Pu 2.67
Cl: 0.6368 0.9915 0.8541  1 Pd 2.60, 1 Pu 2.67
Cl: 0.6452 0.0085 0.3541  1 Pd 2.60, 1 Pu 2.67
Cl: 0.6452 0.6368 0.1459  1 Pd 2.60, 1 Pu 2.67
Cl: 0.9915 0.3548 0.1459  1 Pd 2.60, 1 Pu 2.67
Cl: 0.9915 0.6368 0.3541  1 Pd 2.60, 1 Pu 2.67

The value obtained for the calculated volume is 31.58 Å³/atom. The space-group type is No. 163. As for the formation energy (no corrections): -115.6 kJ per mole of atoms.

---

[7]
Here is an optimized crystal structure of MnTcCl2 from Alexandria via LeMat-Bulk. Energies are from PBE.

a b c (Å): 3.1740 4.1002 5.3234
angles (deg): 90.00 94.84 90.00
Closest atoms and distances in Å follow each position.
Element x y z (fractional)
Mn: 0.0000 0.0000 0.0000  4 Cl 2.60
Tc: 0.5000 0.0000 0.5000  4 Cl 2.48
Cl: 0.2970 0.5000 0.2565  2 Tc 2.48, 2 Mn 2.60
Cl: 0.7030 0.5000 0.7435  2 Tc 2.48, 2 Mn 2.60

The value obtained for the calculated volume is 17.26 Å³/atom. Its energy above the most stable polymorph in this dataset is 12.41 kcal/mol of atoms. The space-group type is No. 10. As for the formation energy (no corrections): 32.9 kJ per mole of atoms.

---

[8]
Here is an optimized crystal structure of Ho5Si2S2 from Alexandria via LeMat-Bulk. Energies are from PBE.

a b c (Å): 7.9722 7.9722 7.4705
angles (deg): 90.00 90.00 55.04
Closest atoms and distances in Å follow each position.
Element x y z (fractional)
Ho: 0.0000 0.0000 0.0000  2 S 2.79, 4 Si 2.92-2.95
Ho: 0.0313 0.6910 0.6629  3 S 2.84-2.93, 3 Si 2.93-2.94
Ho: 0.1910 0.5313 0.1629  3 S 2.84-2.93, 3 Si 2.93-2.94
Ho: 0.3090 0.9687 0.6629  3 S 2.84-2.93, 3 Si 2.93-2.94
Ho: 0.4687 0.8090 0.1629  3 S 2.84-2.93, 3 Si 2.93-2.94
Ho: 0.5000 0.5000 0.5000  2 S 2.79, 4 Si 2.92-2.95
Ho: 0.5313 0.1910 0.8371  3 S 2.84-2.93, 3 Si 2.93-2.94
Ho: 0.6910 0.0313 0.3371  3 S 2.84-2.93, 3 Si 2.93-2.94
Ho: 0.8090 0.4687 0.8371  3 S 2.84-2.93, 3 Si 2.93-2.94
Ho: 0.9687 0.3090 0.3371  3 S 2.84-2.93, 3 Si 2.93-2.94
Si: 0.1246 0.8754 0.3750  1 Si 2.62, 3 Ho 2.92-2.93
Si: 0.3754 0.6246 0.8750  1 Si 2.62, 3 Ho 2.92-2.93
Si: 0.6246 0.3754 0.1250  1 Si 2.62, 3 Ho 2.92-2.93
Si: 0.8754 0.1246 0.6250  1 Si 2.62, 3 Ho 2.92-2.93
S: 0.1973 0.1973 0.0000  7 Ho 2.79-2.93
S: 0.3027 0.3027 0.5000  7 Ho 2.79-2.93
S: 0.6973 0.6973 0.5000  7 Ho 2.79-2.93
S: 0.8027 0.8027 0.0000  7 Ho 2.79-2.93

The value obtained for the calculated volume is 21.62 Å³/atom. The space-group type is No. 64. As for the formation energy (no corrections): -114.6 kJ per mole of atoms.

---

[9]
Here is an optimized crystal structure of NaGeI from Alexandria via LeMat-Bulk. Energies are from PBE.

a b c (Å): 5.8136 5.7446 13.3898
angles (deg): 90.00 102.29 90.00
Closest atoms and distances in Å follow each position.
Element x y z (fractional)
Na: 0.2037 0.0000 0.4050  5 I 2.97-3.23
Na: 0.2963 0.5000 0.5950  5 I 2.97-3.23
Na: 0.7037 0.5000 0.4050  5 I 2.97-3.23
Na: 0.7963 0.0000 0.5950  5 I 2.97-3.23
Ge: 0.2306 0.5000 0.9995  3 Ge 2.68-2.88
Ge: 0.2694 0.0000 0.0005  3 Ge 2.68-2.88
Ge: 0.7306 0.0000 0.9995  3 Ge 2.68-2.88
Ge: 0.7694 0.5000 0.0005  3 Ge 2.68-2.88
I: 0.1755 0.5000 0.3477  5 Na 2.97-3.23
I: 0.3245 0.0000 0.6523  5 Na 2.97-3.23
I: 0.6755 0.0000 0.3477  5 Na 2.97-3.23
I: 0.8245 0.5000 0.6523  5 Na 2.97-3.23

The value obtained for the calculated volume is 36.41 Å³/atom. The space-group type is No. 12. As for the formation energy (no corrections): -39.4 kJ per mole of atoms.